1.
A plane-wave DFT calculation with PBE-GGA was carried out for an optimized crystal structure of Ba2CrRu.

Properties
* calculated volume: 119.8 Å³ per cell
* relative energy among the computed polymorphs: 56.52 kJ/mol of atoms
* energy relative to the elements: 0.921 eV/atom
* E: -4.765 eV per atom

Unit cell a=5.3193 b=5.3193 c=4.2335 alpha=90.00 beta=90.00 gamma=90.00
Closest atoms and distances in Å follow each position.
Fractional positions:
Ba  0.0000  0.5000  0.0000  4 Cr 3.40, 4 Ru 3.40, 4 Ba 3.76
Ba  0.5000  0.0000  0.0000  4 Cr 3.40, 4 Ru 3.40, 4 Ba 3.76
Cr  0.0000  0.0000  0.5000  8 Ba 3.40, 4 Ru 3.76
Ru  0.5000  0.5000  0.5000  8 Ba 3.40, 4 Cr 3.76



2.
A plane-wave DFT calculation with PBE-GGA was carried out for an optimized crystal structure of BaCrRu.

Properties
* calculated volume: 78.0 Å³ per cell
* relative energy among the computed polymorphs: 0.00 kJ/mol of atoms
* energy relative to the elements: 0.539 eV/atom
* E: -6.402 eV per atom

Unit cell a=4.0853 b=4.0853 c=5.3974 alpha=90.00 beta=90.00 gamma=120.00
Closest atoms and distances in Å follow each position.
Fractional positions:
Ba  0.0000  0.0000  0.0000  6 Ru 3.58, 6 Cr 3.58
Cr  0.6667  0.3333  0.5000  3 Ru 2.36
Ru  0.3333  0.6667  0.5000  3 Cr 2.36



| no. | spin magnetization (Bohr magnetons per cell) |
| --- | --- |
| 1 | 5.35 |
| 2 | 2.33 |